Crystalline KMg2Te at its relaxed geometry. Source: the Alexandria database, functional GGA-PBE.

## Properties
Calculated volume ... 142.4 Å³/f.u.
ΔE_f (raw) ... -238.3 meV per atom
Symmetry ... No. 10

```
KMg2Te
1.0
4.7899 0.0000 0.0000
0.0000 5.1901 0.0000
-0.9785 0.0000 5.7292
K Mg Te
1 2 1
Direct
0.0000 0.0000 0.0000 K
0.3996 0.5000 0.7413 Mg
0.6004 0.5000 0.2587 Mg
0.5000 0.0000 0.5000 Te
```